A plane-wave DFT calculation with PBE with a Hubbard U was carried out for crystalline SmPuNiO6 at its relaxed geometry.

- calculated total energy (eV per atom) = -8.0766

Lattice parameters (Å, degrees): 5.3016 5.3016 10.2366 90.00 90.00 120.00
Space group P-31c (No. 163)
Inequivalent atoms, fractional coordinates:
Sm (0.0000, 0.0000, 0.0000) x2
Pu (0.3333, 0.6667, 0.2500) x2
Ni (0.3333, 0.6667, 0.7500) x2
O (0.0104, 0.3593, 0.1397) x12